1.
Compound: Y4Tl2Bi
Source: Alexandria via LeMat-Bulk
Functional: PBE-GGA
Structure: optimized geometry

Formation energy from the elements ... -0.0163 eV per atom
Energy above the most stable polymorph in this dataset ... 472 meV/atom

Lattice parameters (Å, degrees): 5.7430 5.7430 15.2291 90.00 90.00 90.00
Last column: nearest neighbours and their distance in Å.
Space group I4/mmm (No. 139)
Unique sites:
Y: 0.0000 0.0000 0.1985 x4  1 Tl 2.95, 1 Bi 3.02
Y: 0.0000 0.5000 0.0000 x4  2 Bi 2.87
Tl: 0.0000 0.0000 0.3924 x4  5 Y 2.95-3.31, 1 Tl 3.28
Bi: 0.0000 0.0000 0.0000 x2  6 Y 2.87-3.02

2.
Compound: Ni3As4
Source: Alexandria via LeMat-Bulk
Functional: PBE-GGA
Structure: optimized geometry

Formation energy from the elements ... -0.1184 eV per atom
Energy above the most stable polymorph in this dataset ... 0 meV/atom

Lattice parameters (Å, degrees): 6.9677 6.9677 17.1461 90.00 90.00 120.00
Last column: nearest neighbours and their distance in Å.
Space group R-3m (No. 166, hexagonal axes)
Unique sites:
Ni: 0.0000 0.0000 0.0000 x3  6 As 2.39
Ni: 0.0000 0.0000 0.3747 x6  4 As 2.28
Ni: 0.0000 0.5000 0.5000 x9  6 As 2.39
As: 0.0000 0.0000 0.2417 x6  4 Ni 2.28-2.39
As: 0.0225 0.5112 0.7527 x18  4 Ni 2.28-2.39

3.
Compound: Mg2MnCl
Source: Alexandria via LeMat-Bulk
Functional: PBE-GGA
Structure: optimized geometry

E_form (uncorrected) ... -0.917 eV/f.u.
Energy above the most stable polymorph in this dataset ... 76 meV/atom

Lattice parameters (Å, degrees): 3.1812 3.1812 7.6152 90.00 90.00 90.00
Last column: nearest neighbours and their distance in Å.
Space group P4/mmm (No. 123)
Unique sites:
Mg: 0.0000 0.0000 0.2307 x2  4 Mn 2.85, 4 Cl 3.04, 4 Mg 3.18
Mn: 0.5000 0.5000 0.0000 x1  8 Mg 2.85, 4 Mn 3.18
Cl: 0.5000 0.5000 0.5000 x1  8 Mg 3.04, 4 Cl 3.18

4.
Compound: KMg2Be
Source: Alexandria via LeMat-Bulk
Functional: PBE-GGA
Structure: optimized geometry

Formation energy from the elements ... 0.7089 eV per atom

Lattice parameters (Å, degrees): 6.5296 11.5250 3.0500 90.00 116.11 90.00
Last column: nearest neighbours and their distance in Å.
Space group C2/m (No. 12)
Unique sites:
K: 0.0000 0.0000 0.0000 x2  2 K 3.05, 4 Be 3.26-3.35, 4 Mg 3.33
Mg: 0.2500 0.2500 0.5000 x4  6 Mg 3.05-3.35, 2 K 3.33, 2 Be 3.33
Be: 0.0000 0.5000 0.0000 x2  2 Be 3.05, 4 K 3.26-3.35, 4 Mg 3.33

5.
Compound: KY4Ir
Source: Alexandria via LeMat-Bulk
Functional: PBE-GGA
Structure: optimized geometry

Formation energy from the elements ... 0.8437 eV per atom

Lattice parameters (Å, degrees): 9.0042 9.0042 9.0042 90.00 90.00 90.00
Last column: nearest neighbours and their distance in Å.
Space group F-43m (No. 216)
Unique sites:
K: 0.0000 0.0000 0.0000 x4  12 Y 3.74, 4 Ir 3.90
Y: 0.1223 0.1223 0.6223 x16  6 Y 3.11-3.25
Ir: 0.2500 0.2500 0.2500 x4  12 Y 3.73, 4 K 3.90

6.
Compound: Rb2InSb2Se6
Source: Alexandria via LeMat-Bulk
Functional: PBE-GGA
Structure: optimized geometry

E_form (uncorrected) ... -6.640 eV/f.u.

Lattice parameters (Å, degrees): 7.0694 12.2363 8.7145 90.00 106.34 90.00
Last column: nearest neighbours and their distance in Å.
Space group C2/m (No. 12)
Unique sites:
Rb: 0.0000 0.1692 0.0000 x4  6 Se 3.49-3.52
In: 0.0000 0.0000 0.5000 x2  6 Se 2.77-2.81
Sb: 0.0000 0.3310 0.5000 x4  6 Se 2.85-2.89
Se: 0.2303 0.1635 0.6913 x8  1 In 2.81, 2 Sb 2.85-2.86
Se: 0.2426 0.5000 0.6887 x4  1 In 2.77, 2 Sb 2.89

7.
Compound: ScTaZn2
Source: Alexandria via LeMat-Bulk
Functional: PBE-GGA
Structure: optimized geometry

Formation energy from the elements ... 0.0776 eV per atom
Energy above the most stable polymorph in this dataset ... 201 meV/atom

Lattice parameters (Å, degrees): 3.0441 3.0441 27.3858 90.00 90.00 120.00
Last column: nearest neighbours and their distance in Å.
Space group R3m (No. 160, hexagonal axes)
Unique sites:
Sc: 0.0000 0.0000 0.0000 x3  3 Zn 2.97, 3 Ta 2.97, 6 Sc 3.04
Ta: 0.0000 0.0000 0.7541 x3  3 Zn 2.86, 3 Sc 2.97, 6 Ta 3.04
Zn: 0.0000 0.0000 0.2461 x3  9 Zn 2.73-3.04, 3 Sc 2.97
Zn: 0.0000 0.0000 0.5032 x3  9 Zn 2.73-3.04, 3 Ta 2.86

8.
Compound: ZrAl2W
Source: Alexandria via LeMat-Bulk
Functional: PBE-GGA
Structure: optimized geometry

Formation energy from the elements ... -0.0007 eV per atom
Energy above the most stable polymorph in this dataset ... 183 meV/atom

Lattice parameters (Å, degrees): 2.9172 2.9172 28.6961 90.00 90.00 120.00
Last column: nearest neighbours and their distance in Å.
Space group R-3m (No. 166, hexagonal axes)
Unique sites:
Zr: 0.0000 0.0000 0.0000 x3  6 Zr 2.92, 6 Al 3.06
Al: 0.0000 0.0000 0.2444 x6  3 W 2.79, 6 Al 2.92, 3 Zr 3.06
W: 0.0000 0.0000 0.5000 x3  6 Al 2.79, 6 W 2.92

Let's list size of the total moment in order: 0.00, 0.00, 3.39, 0.00, 0.00, 0.00, 0.00, 0.00 Bohr magnetons per cell.